Entry 1:
# BaSr2Li2Tl2

BaSr2Li2Tl2 after structural relaxation (PBE, Alexandria via LeMat-Bulk).

formation enthalpy at 0 K	-218	meV per atom

CIF file:
```
data_BaSr2Li2Tl2
_chemical_formula_sum 'Ba1 Sr2 Li2 Tl2'
_cell_length_a 11.985
_cell_length_b 11.985
_cell_length_c 11.985
_cell_angle_alpha 24.38
_cell_angle_beta 24.38
_cell_angle_gamma 24.38
_symmetry_space_group_name_H-M 'P 1'
_symmetry_Int_Tables_number 1
_symmetry_space_group_name_Hall 'P 1'
loop_
_atom_site_label
_atom_site_fract_x
_atom_site_fract_y
_atom_site_fract_z
Ba1 0.000 0.000 0.000
Sr1 0.124 0.124 0.124
Sr2 0.876 0.876 0.876
Li1 0.401 0.401 0.401
Li2 0.599 0.599 0.599
Tl1 0.261 0.261 0.261
Tl2 0.739 0.739 0.739
```

***

Entry 2:
# NdY5Er2Th

NdY5Er2Th after structural relaxation (PBE, Alexandria via LeMat-Bulk).

formation enthalpy at 0 K	162	meV per atom

CIF file:
```
data_NdY5Er2Th
_chemical_formula_sum 'Nd2 Y10 Er4 Th2'
_cell_length_a 11.037
_cell_length_b 11.037
_cell_length_c 9.751
_cell_angle_alpha 90.00
_cell_angle_beta 90.00
_cell_angle_gamma 149.77
_symmetry_space_group_name_H-M 'P 1'
_symmetry_Int_Tables_number 1
_symmetry_space_group_name_Hall 'P 1'
loop_
_atom_site_label
_atom_site_fract_x
_atom_site_fract_y
_atom_site_fract_z
Nd1 0.096 0.904 0.500
Nd2 0.904 0.096 0.000
Y1 0.028 0.972 0.819
Y2 0.111 0.889 0.113
Y3 0.196 0.804 0.788
Y4 0.233 0.767 0.413
Y5 0.487 0.513 0.091
Y6 0.513 0.487 0.591
Y7 0.767 0.233 0.913
Y8 0.804 0.196 0.288
Y9 0.889 0.111 0.613
Y10 0.972 0.028 0.319
Er1 0.369 0.631 0.786
Er2 0.388 0.612 0.399
Er3 0.612 0.388 0.899
Er4 0.631 0.369 0.286
Th1 0.310 0.690 0.100
Th2 0.690 0.310 0.600
```

***

Entry 3:
# CdAuCl2

CdAuCl2 after structural relaxation (PBE, Alexandria via LeMat-Bulk).

E_form (uncorrected)	-36	kJ per mole of atoms
polymorph energy (0 for the lowest one)	52.7	meV/atom

CIF file:
```
data_CdAuCl2
_chemical_formula_sum 'Cd1 Au1 Cl2'
_cell_length_a 6.028
_cell_length_b 6.028
_cell_length_c 6.028
_cell_angle_alpha 146.52
_cell_angle_beta 107.31
_cell_angle_gamma 82.44
_symmetry_space_group_name_H-M 'P 1'
_symmetry_Int_Tables_number 1
_symmetry_space_group_name_Hall 'P 1'
loop_
_atom_site_label
_atom_site_fract_x
_atom_site_fract_y
_atom_site_fract_z
Cd1 0.000 0.000 0.000
Au1 0.767 0.267 0.500
Cl1 0.202 0.702 0.500
Cl2 0.565 0.565 0.000
```

***

Entry 4:
# Ce3SmSi2

Ce3SmSi2 after structural relaxation (PBE, Alexandria via LeMat-Bulk).

E_form (uncorrected)	-41	kJ per mole of atoms

CIF file:
```
data_Ce3SmSi2
_chemical_formula_sum 'Ce6 Sm2 Si4'
_cell_length_a 8.976
_cell_length_b 8.976
_cell_length_c 8.472
_cell_angle_alpha 113.41
_cell_angle_beta 113.41
_cell_angle_gamma 28.78
_symmetry_space_group_name_H-M 'P 1'
_symmetry_Int_Tables_number 1
_symmetry_space_group_name_Hall 'P 1'
loop_
_atom_site_label
_atom_site_fract_x
_atom_site_fract_y
_atom_site_fract_z
Ce1 0.051 0.051 0.174
Ce2 0.314 0.314 0.636
Ce3 0.350 0.350 0.996
Ce4 0.650 0.650 0.004
Ce5 0.686 0.686 0.364
Ce6 0.949 0.949 0.826
Sm1 0.112 0.112 0.639
Sm2 0.888 0.888 0.361
Si1 0.254 0.254 0.230
Si2 0.491 0.491 0.636
Si3 0.509 0.509 0.364
Si4 0.746 0.746 0.770
```

***

Entry 5:
# GaTc

GaTc after structural relaxation (PBE, Alexandria via LeMat-Bulk).

formation enthalpy at 0 K	1358	meV per atom
polymorph energy (0 for the lowest one)	1532.4	meV/atom

CIF file:
```
data_GaTc
_chemical_formula_sum 'Ga1 Tc1'
_cell_length_a 4.023
_cell_length_b 4.023
_cell_length_c 4.023
_cell_angle_alpha 60.00
_cell_angle_beta 60.00
_cell_angle_gamma 60.00
_symmetry_space_group_name_H-M 'P 1'
_symmetry_Int_Tables_number 1
_symmetry_space_group_name_Hall 'P 1'
loop_
_atom_site_label
_atom_site_fract_x
_atom_site_fract_y
_atom_site_fract_z
Ga1 0.000 0.000 0.000
Tc1 0.750 0.750 0.750
```

***

Entry 6:
# Co2Ir8Ru

Co2Ir8Ru after structural relaxation (PBE, Alexandria via LeMat-Bulk).

formation enthalpy at 0 K	161	meV per atom

CIF file:
```
data_Co2Ir8Ru
_chemical_formula_sum 'Co2 Ir8 Ru1'
_cell_length_a 7.105
_cell_length_b 7.105
_cell_length_c 7.105
_cell_angle_alpha 147.77
_cell_angle_beta 124.13
_cell_angle_gamma 65.98
_symmetry_space_group_name_H-M 'P 1'
_symmetry_Int_Tables_number 1
_symmetry_space_group_name_Hall 'P 1'
loop_
_atom_site_label
_atom_site_fract_x
_atom_site_fract_y
_atom_site_fract_z
Co1 0.199 0.199 0.000
Co2 0.801 0.801 0.000
Ir1 0.056 0.345 0.711
Ir2 0.208 0.000 0.208
Ir3 0.345 0.845 0.500
Ir4 0.366 0.655 0.711
Ir5 0.634 0.345 0.289
Ir6 0.655 0.155 0.500
Ir7 0.792 0.000 0.792
Ir8 0.944 0.655 0.289
Ru1 0.500 0.500 0.000
```

***

Entry 7:
# Cr3Re

Cr3Re after structural relaxation (PBE, Alexandria via LeMat-Bulk).

formation enthalpy at 0 K	190	meV per atom

CIF file:
```
data_Cr3Re
_chemical_formula_sum 'Cr12 Re4'
_cell_length_a 4.952
_cell_length_b 8.414
_cell_length_c 4.921
_cell_angle_alpha 90.00
_cell_angle_beta 90.00
_cell_angle_gamma 90.00
_symmetry_space_group_name_H-M 'P 1'
_symmetry_Int_Tables_number 1
_symmetry_space_group_name_Hall 'P 1'
loop_
_atom_site_label
_atom_site_fract_x
_atom_site_fract_y
_atom_site_fract_z
Cr1 0.012 0.250 0.191
Cr2 0.244 0.004 0.068
Cr3 0.244 0.496 0.068
Cr4 0.256 0.504 0.568
Cr5 0.256 0.996 0.568
Cr6 0.488 0.750 0.691
Cr7 0.512 0.250 0.309
Cr8 0.744 0.004 0.432
Cr9 0.744 0.496 0.432
Cr10 0.756 0.504 0.932
Cr11 0.756 0.996 0.932
Cr12 0.988 0.750 0.809
Re1 0.016 0.250 0.682
Re2 0.484 0.750 0.182
Re3 0.516 0.250 0.818
Re4 0.984 0.750 0.318
```

***

Entry 8:
# K2GaGeSe4

K2GaGeSe4 after structural relaxation (PBE, Alexandria via LeMat-Bulk).

E_form (uncorrected)	-72	kJ per mole of atoms

CIF file:
```
data_K2GaGeSe4
_chemical_formula_sum 'K4 Ga2 Ge2 Se8'
_cell_length_a 13.573
_cell_length_b 11.983
_cell_length_c 7.782
_cell_angle_alpha 83.87
_cell_angle_beta 61.38
_cell_angle_gamma 34.75
_symmetry_space_group_name_H-M 'P 1'
_symmetry_Int_Tables_number 1
_symmetry_space_group_name_Hall 'P 1'
loop_
_atom_site_label
_atom_site_fract_x
_atom_site_fract_y
_atom_site_fract_z
K1 0.058 0.058 0.692
K2 0.308 0.308 0.942
K3 0.692 0.692 0.058
K4 0.942 0.942 0.308
Ga1 0.125 0.125 0.125
Ga2 0.875 0.875 0.875
Ge1 0.375 0.375 0.375
Ge2 0.625 0.625 0.625
Se1 0.046 0.319 0.403
Se2 0.267 0.597 0.681
Se3 0.319 0.046 0.733
Se4 0.403 0.733 0.046
Se5 0.597 0.267 0.954
Se6 0.681 0.954 0.267
Se7 0.733 0.403 0.319
Se8 0.954 0.681 0.597
```

***

Number 1: E_tot -15.37 eV per cell. Number 2: E_tot -104.34 eV per cell. Number 3: E_tot -9.38 eV per cell. Number 4: E_tot -71.87 eV per cell. Number 5: E_tot -10.68 eV per cell. Number 6: E_tot -92.61 eV per cell. Number 7: E_tot -162.23 eV per cell. Number 8: E_tot -59.51 eV per cell.